No. 1
Density functional theory data (GGA-PBE) for a relaxed structure of Co2PdBr.

The structure in CIF format:
```
data_Co2PdBr
_chemical_formula_sum 'Co8 Pd4 Br4'
_space_group_name_H-M_alt 'F m -3 m'
_space_group_IT_number 225
_space_group_name_Hall '-F 4 2 3'
_cell_length_a 6.182
_cell_length_b 6.182
_cell_length_c 6.182
_cell_angle_alpha 90.00
_cell_angle_beta 90.00
_cell_angle_gamma 90.00
loop_
_atom_site_label
_atom_site_type_symbol
_atom_site_fract_x
_atom_site_fract_y
_atom_site_fract_z
_atom_site_occupancy
Co1 Co 0.250 0.250 0.250 1
Pd1 Pd 0.000 0.000 0.000 1
Br1 Br 0.000 0.000 0.500 1
```

Output
- formation energy (no corrections) (eV/f.u.) = 2.68
- Fermi-level density of states (states/eV/atom) = 1.550
- distance to the lowest polymorph of the same formula (eV/atom) = 0.000
- total DFT energy (no corrections) (eV per atom) = -4.5984

No. 2
Density functional theory data (GGA-PBE) for a relaxed structure of CoPd2Br.

The structure in CIF format:
```
data_CoPd2Br
_chemical_formula_sum 'Co4 Pd8 Br4'
_space_group_name_H-M_alt 'I -4 2 d'
_space_group_IT_number 122
_space_group_name_Hall 'I -4 2bw'
_cell_length_a 7.199
_cell_length_b 7.199
_cell_length_c 5.365
_cell_angle_alpha 90.00
_cell_angle_beta 90.00
_cell_angle_gamma 90.00
loop_
_atom_site_label
_atom_site_type_symbol
_atom_site_fract_x
_atom_site_fract_y
_atom_site_fract_z
_atom_site_occupancy
Co1 Co 0.000 0.000 0.000 1
Pd1 Pd 0.223 0.750 0.125 1
Br1 Br 0.000 0.000 0.500 1
```

Output
- formation energy (no corrections) (eV/f.u.) = 2.02
- Fermi-level density of states (states/eV/atom) = 1.789
- distance to the lowest polymorph of the same formula (eV/atom) = 0.000
- total DFT energy (no corrections) (eV per atom) = -4.2861

No. 3
Density functional theory data (GGA-PBE) for a relaxed structure of Co3PdBr.

The structure in CIF format:
```
data_Co3PdBr
_chemical_formula_sum 'Co3 Pd1 Br1'
_space_group_name_H-M_alt 'P m -3 m'
_space_group_IT_number 221
_space_group_name_Hall '-P 4 2 3'
_cell_length_a 4.690
_cell_length_b 4.690
_cell_length_c 4.690
_cell_angle_alpha 90.00
_cell_angle_beta 90.00
_cell_angle_gamma 90.00
loop_
_atom_site_label
_atom_site_type_symbol
_atom_site_fract_x
_atom_site_fract_y
_atom_site_fract_z
_atom_site_occupancy
Co1 Co 0.000 0.000 0.500 1
Pd1 Pd 0.000 0.000 0.000 1
Br1 Br 0.500 0.500 0.500 1
```

Output
- formation energy (no corrections) (eV/f.u.) = 6.53
- Fermi-level density of states (states/eV/atom) = 1.670
- distance to the lowest polymorph of the same formula (eV/atom) = 0.224
- total DFT energy (no corrections) (eV per atom) = -4.3307

No. 4
Density functional theory data (GGA-PBE) for a relaxed structure of CoPd3Br9.

The structure in CIF format:
```
data_CoPd3Br9
_chemical_formula_sum 'Co4 Pd12 Br36'
_space_group_name_H-M_alt 'C 1 c 1'
_space_group_IT_number 9
_cell_length_a 18.232
_cell_length_b 8.344
_cell_length_c 13.174
_cell_angle_alpha 90.00
_cell_angle_beta 126.06
_cell_angle_gamma 90.00
loop_
_space_group_symop_operation_xyz
'x,y,z'
'x,-y,z+1/2'
'x+1/2,y+1/2,z'
'x+1/2,-y+1/2,z+1/2'
loop_
_atom_site_label
_atom_site_type_symbol
_atom_site_fract_x
_atom_site_fract_y
_atom_site_fract_z
_atom_site_occupancy
Co1 Co 0.000 0.220 0.000 1
Pd1 Pd 0.119 0.155 0.802 1
Pd2 Pd 0.255 0.443 0.257 1
Pd3 Pd 0.387 0.055 0.706 1
Br1 Br 0.004 0.084 0.840 1
Br2 Br 0.108 0.425 0.039 1
Br3 Br 0.119 0.048 0.158 1
Br4 Br 0.180 0.424 0.845 1
Br5 Br 0.259 0.068 0.007 1
Br6 Br 0.304 0.291 0.709 1
Br7 Br 0.363 0.130 0.333 1
Br8 Br 0.395 0.477 0.472 1
Br9 Br 0.492 0.162 0.664 1
```

Output
- formation energy (no corrections) (eV/f.u.) = -1.43
- Fermi-level density of states (states/eV/atom) = 0.159
- total DFT energy (no corrections) (eV per atom) = -3.0134

No. 5
Density functional theory data (GGA-PBE) for a relaxed structure of Co2PdBr.

The structure in CIF format:
```
data_Co2PdBr
_chemical_formula_sum 'Co8 Pd4 Br4'
_space_group_name_H-M_alt 'I -4 2 d'
_space_group_IT_number 122
_space_group_name_Hall 'I -4 2bw'
_cell_length_a 6.905
_cell_length_b 6.905
_cell_length_c 5.144
_cell_angle_alpha 90.00
_cell_angle_beta 90.00
_cell_angle_gamma 90.00
loop_
_atom_site_label
_atom_site_type_symbol
_atom_site_fract_x
_atom_site_fract_y
_atom_site_fract_z
_atom_site_occupancy
Co1 Co 0.231 0.250 0.125 1
Pd1 Pd 0.000 0.000 0.500 1
Br1 Br 0.000 0.000 0.000 1
```

Output
- formation energy (no corrections) (eV/f.u.) = 2.70
- Fermi-level density of states (states/eV/atom) = 1.358
- distance to the lowest polymorph of the same formula (eV/atom) = 0.004
- total DFT energy (no corrections) (eV per atom) = -4.5939

No. 6
Density functional theory data (GGA-PBE) for a relaxed structure of Co3PdBr9.

The structure in CIF format:
```
data_Co3PdBr9
_chemical_formula_sum 'Co12 Pd4 Br36'
_space_group_name_H-M_alt 'C 1 c 1'
_space_group_IT_number 9
_cell_length_a 17.865
_cell_length_b 9.106
_cell_length_c 13.017
_cell_angle_alpha 90.00
_cell_angle_beta 127.31
_cell_angle_gamma 90.00
loop_
_space_group_symop_operation_xyz
'x,y,z'
'x,-y,z+1/2'
'x+1/2,y+1/2,z'
'x+1/2,-y+1/2,z+1/2'
loop_
_atom_site_label
_atom_site_type_symbol
_atom_site_fract_x
_atom_site_fract_y
_atom_site_fract_z
_atom_site_occupancy
Co1 Co 0.000 0.049 0.000 1
Co2 Co 0.131 0.414 0.947 1
Co3 Co 0.399 0.117 0.595 1
Pd1 Pd 0.265 0.224 0.772 1
Br1 Br 0.016 0.227 0.878 1
Br2 Br 0.057 0.398 0.284 1
Br3 Br 0.120 0.056 0.697 1
Br4 Br 0.169 0.466 0.633 1
Br5 Br 0.258 0.310 0.962 1
Br6 Br 0.267 0.097 0.595 1
Br7 Br 0.377 0.012 0.925 1
Br8 Br 0.389 0.364 0.529 1
Br9 Br 0.418 0.362 0.846 1
```

Output
- formation energy (no corrections) (eV/f.u.) = -3.07
- Fermi-level density of states (states/eV/atom) = 0.649
- total DFT energy (no corrections) (eV per atom) = -3.4334

- The highest formation energy (no corrections) belongs to which entry?
  Co3PdBr

- Number 2 is which compound?
  CoPd2Br